(1)
{
  "formula": "AcTbCdIn",
  "functional": "GGA-PBE",
  "state": "relaxed",
  "e_form_ev_per_atom": -0.347,
  "space_group": "F-43m, No. 216",
  "n_ef_per_ev_fu": 4.8,
  "crystal_system": "cubic",
  "cell": [[7.897, 0.000, 0.000], [0.000, 7.897, 0.000], [0.000, 0.000, 7.897]],
  "species": ["Ac", "Ac", "Ac", "Ac", "Tb", "Tb", "Tb", "Tb", "Cd", "Cd", "Cd", "Cd", "In", "In", "In", "In"],
  "frac_coords": [[0.000, 0.000, 0.000], [0.000, 0.500, 0.500], [0.500, 0.000, 0.500], [0.500, 0.500, 0.000], [0.000, 0.000, 0.500], [0.000, 0.500, 0.000], [0.500, 0.000, 0.000], [0.500, 0.500, 0.500], [0.250, 0.250, 0.750], [0.250, 0.750, 0.250], [0.750, 0.250, 0.250], [0.750, 0.750, 0.750], [0.250, 0.250, 0.250], [0.250, 0.750, 0.750], [0.750, 0.250, 0.750], [0.750, 0.750, 0.250]]
}

(2)
{
  "formula": "Ac2TlCd3In4",
  "functional": "GGA-PBE",
  "state": "relaxed",
  "e_form_ev_per_atom": -0.287,
  "space_group": "P-4m2, No. 115",
  "n_ef_per_ev_fu": 2.9,
  "crystal_system": "tetragonal",
  "cell": [[4.872, 0.000, 0.000], [0.000, 4.872, 0.000], [0.000, 0.000, 12.023]],
  "species": ["Ac", "Ac", "Tl", "Cd", "Cd", "Cd", "In", "In", "In", "In"],
  "frac_coords": [[0.000, 0.500, 0.247], [0.500, 0.000, 0.753], [0.000, 0.000, 0.500], [0.000, 0.500, 0.867], [0.500, 0.000, 0.133], [0.500, 0.500, 0.500], [0.000, 0.000, 0.000], [0.000, 0.500, 0.640], [0.500, 0.000, 0.360], [0.500, 0.500, 0.000]]
}

(3)
{
  "formula": "Ac4TlCdIn2",
  "functional": "GGA-PBE",
  "state": "relaxed",
  "e_form_ev_per_atom": -0.370,
  "space_group": "R-3m, No. 166",
  "n_ef_per_ev_fu": 10.6,
  "crystal_system": "trigonal",
  "cell": [[2.904, 1.676, 9.509], [-2.904, 1.676, 9.509], [0.000, -3.353, 9.509]],
  "species": ["Ac", "Ac", "Ac", "Ac", "Tl", "Cd", "In", "In"],
  "frac_coords": [[0.124, 0.124, 0.124], [0.374, 0.374, 0.374], [0.626, 0.626, 0.626], [0.876, 0.876, 0.876], [0.500, 0.500, 0.500], [0.000, 0.000, 0.000], [0.251, 0.251, 0.251], [0.749, 0.749, 0.749]]
}

(4)
{
  "formula": "Ac2TlCd4In3",
  "functional": "GGA-PBE",
  "state": "relaxed",
  "e_form_ev_per_atom": -0.296,
  "space_group": "P-4m2, No. 115",
  "n_ef_per_ev_fu": 3.3,
  "crystal_system": "tetragonal",
  "cell": [[4.811, 0.000, 0.000], [0.000, 4.811, 0.000], [0.000, 0.000, 12.176]],
  "species": ["Ac", "Ac", "Tl", "Cd", "Cd", "Cd", "Cd", "In", "In", "In"],
  "frac_coords": [[0.000, 0.500, 0.244], [0.500, 0.000, 0.756], [0.000, 0.000, 0.500], [0.000, 0.000, 0.000], [0.000, 0.500, 0.641], [0.500, 0.000, 0.359], [0.500, 0.500, 0.000], [0.000, 0.500, 0.866], [0.500, 0.000, 0.134], [0.500, 0.500, 0.500]]
}

(5)
{
  "formula": "AcTmCdIn",
  "functional": "GGA-PBE",
  "state": "relaxed",
  "e_form_ev_per_atom": -0.327,
  "space_group": "F-43m, No. 216",
  "n_ef_per_ev_fu": 4.1,
  "crystal_system": "cubic",
  "cell": [[7.848, 0.000, 0.000], [0.000, 7.848, 0.000], [0.000, 0.000, 7.848]],
  "species": ["Ac", "Ac", "Ac", "Ac", "Tm", "Tm", "Tm", "Tm", "Cd", "Cd", "Cd", "Cd", "In", "In", "In", "In"],
  "frac_coords": [[0.000, 0.000, 0.000], [0.000, 0.500, 0.500], [0.500, 0.000, 0.500], [0.500, 0.500, 0.000], [0.000, 0.000, 0.500], [0.000, 0.500, 0.000], [0.500, 0.000, 0.000], [0.500, 0.500, 0.500], [0.250, 0.250, 0.750], [0.250, 0.750, 0.250], [0.750, 0.250, 0.250], [0.750, 0.750, 0.750], [0.250, 0.250, 0.250], [0.250, 0.750, 0.750], [0.750, 0.250, 0.750], [0.750, 0.750, 0.250]]
}

(6)
{
  "formula": "AcTm2Cd2In2",
  "functional": "GGA-PBE",
  "state": "relaxed",
  "e_form_ev_per_atom": -0.277,
  "space_group": "R-3m, No. 166",
  "n_ef_per_ev_fu": 4.2,
  "crystal_system": "trigonal",
  "cell": [[2.510, 1.449, 9.131], [-2.510, 1.449, 9.131], [0.000, -2.899, 9.131]],
  "species": ["Ac", "Tm", "Tm", "Cd", "Cd", "In", "In"],
  "frac_coords": [[0.000, 0.000, 0.000], [0.136, 0.136, 0.136], [0.864, 0.864, 0.864], [0.434, 0.434, 0.434], [0.566, 0.566, 0.566], [0.258, 0.258, 0.258], [0.742, 0.742, 0.742]]
}

Question: Number 4 is which compound?
Answer: Ac2TlCd4In3